# 1
Here is NaTlBi4 after structural relaxation from Alexandria via LeMat-Bulk. Energies are from GGA-PBE.

Results
Energy of formation: -0.6 eV/f.u.

abc: 10.425 10.425 5.707
angles: 90.00 90.00 141.74
Positions (direct):
Na1 0.124 0.876 0.750
Na2 0.876 0.124 0.250
Tl1 0.374 0.626 0.250
Tl2 0.626 0.374 0.750
Bi1 0.039 0.459 0.750
Bi2 0.211 0.294 0.750
Bi3 0.294 0.211 0.250
Bi4 0.459 0.039 0.250
Bi5 0.541 0.961 0.750
Bi6 0.706 0.789 0.750
Bi7 0.789 0.706 0.250
Bi8 0.961 0.541 0.250

# 2
Here is NaMoS2N after structural relaxation from Alexandria via LeMat-Bulk. Energies are from GGA-PBE.

Results
Uncorrected formation energy: -0.271 eV/atom

abc: 4.856 4.856 3.841
angles: 90.00 90.00 90.00
Positions (direct):
Na1 0.000 0.000 0.000
Mo1 0.500 0.500 0.500
S1 0.000 0.500 0.500
S2 0.500 0.000 0.500
N1 0.500 0.500 0.000

# 3
Here is Tm6In3O2 after structural relaxation from Alexandria via LeMat-Bulk. Energies are from GGA-PBE.

Results
Uncorrected formation energy: -1.286 eV/atom

abc: 12.672 12.672 12.672
angles: 159.02 159.02 29.83
Positions (direct):
Tm1 0.086 0.586 0.500
Tm2 0.195 0.195 0.000
Tm3 0.414 0.914 0.500
Tm4 0.586 0.086 0.500
Tm5 0.805 0.805 0.000
Tm6 0.914 0.414 0.500
In1 0.324 0.324 0.000
In2 0.500 0.500 0.000
In3 0.676 0.676 0.000
O1 0.100 0.100 0.000
O2 0.900 0.900 0.000

no.,calculated volume (Å³ per atom)
1,32.01
2,18.12
3,23.69